Entry from OQMD: a relaxed Nb3AsN2 crystal (PBE).

abc: 3.199 3.199 17.647
angles: 90.00 90.00 120.00
Element x y z (fractional)
As 0.000 0.000 0.250
As 0.000 0.000 0.750
N 0.333 0.667 0.071
N 0.333 0.667 0.429
N 0.667 0.333 0.571
N 0.667 0.333 0.929
Nb 0.000 0.000 0.000
Nb 0.667 0.333 0.140
Nb 0.667 0.333 0.360
Nb 0.000 0.000 0.500
Nb 0.333 0.667 0.640
Nb 0.333 0.667 0.860

The symmetry is P6_3/mmc, No. 194. The calculation puts the total energy at -55.96 eV per formula unit.